Record 1
Nd4Cd5Pd2: relaxed, PBE-GGA.

E_form: -0.47 eV per atom
size of the total moment: 0.0 μB per formula unit

a = 7.7880 Å, b = 3.7969 Å, c = 9.7836 Å
α = 90.00°, β = 94.04°, γ = 90.00°
Last column: nearest neighbours and their distance in Å.
Space group P2/m (No. 10)
Symmetry-distinct sites (fractional):
Nd1 0.1705 0.0000 0.3591 [2 per cell]  2 Pd 2.95
Nd2 0.2369 0.0000 0.9439 [2 per cell]  4 Pd 3.05-3.10, 2 Cd 3.39
Cd1 0.1861 0.5000 0.6523 [2 per cell]  2 Cd 2.95-3.15, 1 Pd 2.95
Cd2 0.4488 0.5000 0.1877 [2 per cell]  1 Pd 2.97, 2 Cd 3.05-3.15
Cd3 0.5000 0.5000 0.5000 [1 per cell]  4 Cd 2.95-3.05
Pd1 0.0678 0.5000 0.1375 [2 per cell]  1 Pd 2.82, 6 Nd 2.95-3.10, 2 Cd 2.95-2.97

Record 2
MgCu2Ir2: relaxed, PBE-GGA.

E_form: 0.12 eV per atom
size of the total moment: 0.0 μB per formula unit

a = 7.1799 Å, b = 7.1799 Å, c = 2.8507 Å
α = 90.00°, β = 90.00°, γ = 90.00°
Last column: nearest neighbours and their distance in Å.
Space group P4/mbm (No. 127)
Symmetry-distinct sites (fractional):
Mg1 0.0000 0.0000 0.0000 [2 per cell]  4 Cu 2.70, 2 Mg 2.85
Cu1 0.1601 0.3399 0.0000 [4 per cell]  6 Ir 2.51-2.57, 2 Mg 2.70
Ir1 0.1366 0.6366 0.5000 [4 per cell]  6 Cu 2.51-2.57, 1 Ir 2.77

Record 3
Ac2CeHoBi5: relaxed, PBE-GGA.

E_form: -0.34 eV per atom
size of the total moment: 0.8 μB per formula unit

a = 5.4725 Å, b = 5.4725 Å, c = 12.2438 Å
α = 90.00°, β = 90.00°, γ = 90.00°
Last column: nearest neighbours and their distance in Å.
Space group P4/mmm (No. 123)
Symmetry-distinct sites (fractional):
Ac1 0.0000 0.0000 0.2185 [2 per cell]  5 Bi 3.45-3.83
Ce1 0.5000 0.5000 0.5000 [1 per cell]  2 Bi 3.04
Ho1 0.5000 0.5000 0.0000 [1 per cell]  4 Bi 2.74
Bi1 0.0000 0.0000 0.5000 [1 per cell]  2 Ac 3.45
Bi2 0.0000 0.5000 0.0000 [2 per cell]  2 Ho 2.74
Bi3 0.5000 0.5000 0.2520 [2 per cell]  1 Ce 3.04, 1 Ho 3.09

Record 4
Ca3Ag8Pd: relaxed, PBE-GGA.

E_form: -0.22 eV per atom
size of the total moment: 0.0 μB per formula unit

a = 5.6157 Å, b = 5.6157 Å, c = 28.0535 Å
α = 90.00°, β = 90.00°, γ = 120.00°
Last column: nearest neighbours and their distance in Å.
Space group R3m (No. 160, hexagonal axes)
Symmetry-distinct sites (fractional):
Ca1 0.0000 0.0000 0.0000 [3 per cell]  12 Ag 3.30-3.40, 4 Ca 3.64-3.69
Ca2 0.0000 0.0000 0.1315 [3 per cell]  12 Ag 3.13-3.41, 3 Pd 3.34
Ca3 0.0000 0.0000 0.6079 [3 per cell]  9 Ag 3.11-3.40, 1 Pd 3.22
Ag1 0.0000 0.0000 0.3110 [3 per cell]  6 Ag 2.87
Ag2 0.0000 0.0000 0.8113 [3 per cell]  6 Ag 2.81-2.82
Ag3 0.0012 0.5006 0.0624 [9 per cell]  6 Ag 2.80-2.87
Ag4 0.0019 0.5010 0.5600 [9 per cell]  6 Ag 2.79-2.87, 2 Ca 3.11
Pd1 0.0000 0.0000 0.4931 [3 per cell]  12 Ag 3.17-3.38, 4 Ca 3.22-3.34

Record 5
Pu2Ga7Pt: relaxed, PBE-GGA.

E_form: -0.40 eV per atom
size of the total moment: 11.1 μB per formula unit

a = 4.2346 Å, b = 4.2346 Å, c = 10.7480 Å
α = 90.00°, β = 90.00°, γ = 90.00°
Last column: nearest neighbours and their distance in Å.
Space group P-4m2 (No. 115)
Symmetry-distinct sites (fractional):
Pu1 0.0000 0.5000 0.2474 [2 per cell]  14 Ga 3.23-3.44, 2 Pt 3.40
Ga1 0.0000 0.0000 0.0000 [1 per cell]  4 Ga 2.55
Ga2 0.0000 0.0000 0.5000 [1 per cell]  4 Ga 2.60
Ga3 0.0000 0.5000 0.6400 [2 per cell]  5 Ga 2.44-2.60
Ga4 0.0000 0.5000 0.8671 [2 per cell]  3 Ga 2.44-2.55, 2 Pt 2.55
Ga5 0.5000 0.5000 0.5000 [1 per cell]  4 Ga 2.60
Pt1 0.5000 0.5000 0.0000 [1 per cell]  4 Ga 2.55

Record 6
K3PuH6O8: relaxed, PBE-GGA.

calculated total energy: -5.9236 eV per atom
size of the total moment: 1.0 μB per formula unit

a = 7.9297 Å, b = 8.4498 Å, c = 7.7662 Å
α = 90.00°, β = 118.46°, γ = 90.00°
Last column: nearest neighbours and their distance in Å.
Space group P2_1/c (No. 14)
Symmetry-distinct sites (fractional):
K1 0.0000 0.0000 0.0000 [2 per cell]  6 O 2.74-2.90, 4 H 2.79-3.05
K2 0.4030 0.1926 0.9459 [4 per cell]  6 O 2.74-3.05, 4 H 2.81-3.04
Pu1 0.0000 0.0000 0.5000 [2 per cell]  4 O 1.89-1.92
H1 0.1952 0.7116 0.8615 [4 per cell]  1 O 0.99
H2 0.3660 0.5367 0.8167 [4 per cell]  1 O 1.01
H3 0.4272 0.5403 0.1243 [4 per cell]  1 O 1.00
O1 0.1316 0.1949 0.5579 [4 per cell]  1 Pu 1.89
O2 0.1631 0.5688 0.2632 [4 per cell]  1 Pu 1.92, 1 H 1.98
O3 0.2257 0.6004 0.9040 [4 per cell]  1 H 0.99
O4 0.4511 0.0032 0.2616 [4 per cell]  2 H 1.00-1.01

Record 7
LaTa2CdW: relaxed, PBE-GGA.

E_form: 0.91 eV per atom
size of the total moment: 0.0 μB per formula unit

a = 4.9108 Å, b = 4.9108 Å, c = 5.3887 Å
α = 90.00°, β = 90.00°, γ = 90.00°
Last column: nearest neighbours and their distance in Å.
Space group P4/mmm (No. 123)
Symmetry-distinct sites (fractional):
La1 0.0000 0.0000 0.0000 [1 per cell]  4 Cd 3.47, 8 Ta 3.65
Ta1 0.0000 0.5000 0.5000 [2 per cell]  2 W 2.46
Cd1 0.5000 0.5000 0.0000 [1 per cell]  2 W 2.69
W1 0.5000 0.5000 0.5000 [1 per cell]  4 Ta 2.46, 2 Cd 2.69

Record 8
NaFe3Pd: relaxed, PBE-GGA.

E_form: 1.80 eV per atom
size of the total moment: 8.7 μB per formula unit

a = 4.3641 Å, b = 4.3641 Å, c = 4.3641 Å
α = 90.00°, β = 90.00°, γ = 90.00°
Last column: nearest neighbours and their distance in Å.
Space group Pm-3m (No. 221)
Symmetry-distinct sites (fractional):
Na1 0.0000 0.0000 0.0000 [1 per cell]  6 Fe 2.18
Fe1 0.0000 0.0000 0.5000 [3 per cell]  2 Na 2.18
Pd1 0.5000 0.5000 0.5000 [1 per cell]  12 Fe 3.09